# 1
An optimized crystal structure of RbSrHf2Tc. Source: Alexandria, functional PBE.

Structure (CIF):
```
data_RbSrHf2Tc
_chemical_formula_sum 'Rb1 Sr1 Hf2 Tc1'
_space_group_name_H-M_alt 'P 4/m m m'
_space_group_IT_number 123
_space_group_name_Hall '-P 4 2'
_cell_length_a 5.5989
_cell_length_b 5.5989
_cell_length_c 4.8915
_cell_angle_alpha 90.00
_cell_angle_beta 90.00
_cell_angle_gamma 90.00
loop_
_atom_site_label
_atom_site_type_symbol
_atom_site_fract_x
_atom_site_fract_y
_atom_site_fract_z
_atom_site_occupancy
Rb1 Rb 0.0000 0.0000 0.0000 1
Sr1 Sr 0.5000 0.5000 0.5000 1
Hf1 Hf 0.0000 0.5000 0.5000 1
Tc1 Tc 0.5000 0.5000 0.0000 1
```

Properties
magnetic moment = 1.128 μB/f.u.
calculated volume = 153.3 Å³ per cell
E = -21.23 eV for the cell shown
theoretical density = 6.8 Mg/m³
E_form = 2.339 eV per atom

---

# 2
An optimized crystal structure of RbSrHf2Te. Source: Alexandria, functional PBE.

Structure (CIF):
```
data_RbSrHf2Te
_chemical_formula_sum 'Rb1 Sr1 Hf2 Te1'
_space_group_name_H-M_alt 'P 4/m m m'
_space_group_IT_number 123
_space_group_name_Hall '-P 4 2'
_cell_length_a 5.2232
_cell_length_b 5.2232
_cell_length_c 6.2165
_cell_angle_alpha 90.00
_cell_angle_beta 90.00
_cell_angle_gamma 90.00
loop_
_atom_site_label
_atom_site_type_symbol
_atom_site_fract_x
_atom_site_fract_y
_atom_site_fract_z
_atom_site_occupancy
Rb1 Rb 0.0000 0.0000 0.0000 1
Sr1 Sr 0.5000 0.5000 0.5000 1
Hf1 Hf 0.0000 0.5000 0.0000 1
Te1 Te 0.0000 0.0000 0.5000 1
```

Properties
magnetic moment = 0.000 μB/f.u.
calculated volume = 169.6 Å³ per cell
E = -18.24 eV for the cell shown
theoretical density = 6.4 Mg/m³
E_form (uncorrected) = 1.491 eV/atom

---

# 3
An optimized crystal structure of Rb2SrHfV. Source: Alexandria, functional PBE.

Structure (CIF):
```
data_Rb2SrHfV
_chemical_formula_sum 'Rb2 Sr1 Hf1 V1'
_space_group_name_H-M_alt 'P 4/m m m'
_space_group_IT_number 123
_space_group_name_Hall '-P 4 2'
_cell_length_a 6.3767
_cell_length_b 6.3767
_cell_length_c 6.4482
_cell_angle_alpha 90.00
_cell_angle_beta 90.00
_cell_angle_gamma 90.00
loop_
_atom_site_label
_atom_site_type_symbol
_atom_site_fract_x
_atom_site_fract_y
_atom_site_fract_z
_atom_site_occupancy
Rb1 Rb 0.0000 0.5000 0.0000 1
Sr1 Sr 0.0000 0.0000 0.5000 1
Hf1 Hf 0.5000 0.5000 0.5000 1
V1 V 0.0000 0.0000 0.0000 1
```

Properties
magnetic moment = 8.396 μB/f.u.
calculated volume = 262.2 Å³ per cell
E = -14.03 eV for the cell shown
theoretical density = 3.1 Mg/m³
E_form = 1.733 eV per atom

---

# 4
An optimized crystal structure of RbHf3Ta. Source: Alexandria, functional PBE.

Structure (CIF):
```
data_RbHf3Ta
_chemical_formula_sum 'Rb1 Hf3 Ta1'
_space_group_name_H-M_alt 'P m -3 m'
_space_group_IT_number 221
_space_group_name_Hall '-P 4 2 3'
_cell_length_a 5.3138
_cell_length_b 5.3138
_cell_length_c 5.3138
_cell_angle_alpha 90.00
_cell_angle_beta 90.00
_cell_angle_gamma 90.00
loop_
_atom_site_label
_atom_site_type_symbol
_atom_site_fract_x
_atom_site_fract_y
_atom_site_fract_z
_atom_site_occupancy
Rb1 Rb 0.0000 0.0000 0.0000 1
Hf1 Hf 0.0000 0.5000 0.5000 1
Ta1 Ta 0.5000 0.5000 0.5000 1
```

Properties
magnetic moment = 0.000 μB/f.u.
ΔE to the lowest computed polymorph = 0.0 kJ/mol of formula units
calculated volume = 150.0 Å³ per cell
E = -36.70 eV for the cell shown
theoretical density = 8.9 Mg/m³
E_form = 1.196 eV per atom

---

# 5
An optimized crystal structure of RbHfTa2. Source: Alexandria, functional PBE.

Structure (CIF):
```
data_RbHfTa2
_chemical_formula_sum 'Rb4 Hf4 Ta8'
_space_group_name_H-M_alt 'I -4 2 d'
_space_group_IT_number 122
_space_group_name_Hall 'I -4 2bw'
_cell_length_a 4.3020
_cell_length_b 4.3020
_cell_length_c 20.8898
_cell_angle_alpha 90.00
_cell_angle_beta 90.00
_cell_angle_gamma 90.00
loop_
_atom_site_label
_atom_site_type_symbol
_atom_site_fract_x
_atom_site_fract_y
_atom_site_fract_z
_atom_site_occupancy
Rb1 Rb 0.0000 0.0000 0.0000 1
Hf1 Hf 0.0000 0.0000 0.5000 1
Ta1 Ta 0.2145 0.2500 0.6250 1
```

Properties
magnetic moment = 0.000 μB/f.u.
ΔE to the lowest computed polymorph = 26.7 kJ/mol of formula units
calculated volume = 386.6 Å³ per cell
E = -109.74 eV for the cell shown
theoretical density = 10.8 Mg/m³
E_form = 1.798 eV per atom

---

# 6
An optimized crystal structure of RbHf3Ta. Source: Alexandria, functional PBE.

Structure (CIF):
```
data_RbHf3Ta
_chemical_formula_sum 'Rb1 Hf3 Ta1'
_space_group_name_H-M_alt 'P m -3 m'
_space_group_IT_number 221
_space_group_name_Hall '-P 4 2 3'
_cell_length_a 4.9217
_cell_length_b 4.9217
_cell_length_c 4.9217
_cell_angle_alpha 90.00
_cell_angle_beta 90.00
_cell_angle_gamma 90.00
loop_
_atom_site_label
_atom_site_type_symbol
_atom_site_fract_x
_atom_site_fract_y
_atom_site_fract_z
_atom_site_occupancy
Rb1 Rb 0.0000 0.0000 0.0000 1
Hf1 Hf 0.0000 0.0000 0.5000 1
Ta1 Ta 0.5000 0.5000 0.5000 1
```

Properties
magnetic moment = 0.000 μB/f.u.
ΔE to the lowest computed polymorph = 611.0 kJ/mol of formula units
calculated volume = 119.2 Å³ per cell
E = -30.37 eV for the cell shown
theoretical density = 11.2 Mg/m³
E_form = 2.462 eV per atom

---

# 7
An optimized crystal structure of RbHfTa2. Source: Alexandria, functional PBE.

Structure (CIF):
```
data_RbHfTa2
_chemical_formula_sum 'Rb4 Hf4 Ta8'
_space_group_name_H-M_alt 'F m -3 m'
_space_group_IT_number 225
_space_group_name_Hall '-F 4 2 3'
_cell_length_a 7.1338
_cell_length_b 7.1338
_cell_length_c 7.1338
_cell_angle_alpha 90.00
_cell_angle_beta 90.00
_cell_angle_gamma 90.00
loop_
_atom_site_label
_atom_site_type_symbol
_atom_site_fract_x
_atom_site_fract_y
_atom_site_fract_z
_atom_site_occupancy
Rb1 Rb 0.0000 0.0000 0.0000 1
Hf1 Hf 0.0000 0.0000 0.5000 1
Ta1 Ta 0.2500 0.2500 0.2500 1
```

Properties
magnetic moment = 1.464 μB/f.u.
ΔE to the lowest computed polymorph = 0.0 kJ/mol of formula units
calculated volume = 363.0 Å³ per cell
E = -110.84 eV for the cell shown
theoretical density = 11.5 Mg/m³
E_form = 1.729 eV per atom

---

# 8
An optimized crystal structure of Rb2HfTaTe. Source: Alexandria, functional PBE.

Structure (CIF):
```
data_Rb2HfTaTe
_chemical_formula_sum 'Rb2 Hf1 Ta1 Te1'
_space_group_name_H-M_alt 'P 4/m m m'
_space_group_IT_number 123
_space_group_name_Hall '-P 4 2'
_cell_length_a 6.3580
_cell_length_b 6.3580
_cell_length_c 5.1075
_cell_angle_alpha 90.00
_cell_angle_beta 90.00
_cell_angle_gamma 90.00
loop_
_atom_site_label
_atom_site_type_symbol
_atom_site_fract_x
_atom_site_fract_y
_atom_site_fract_z
_atom_site_occupancy
Rb1 Rb 0.0000 0.5000 0.0000 1
Hf1 Hf 0.0000 0.0000 0.5000 1
Ta1 Ta 0.0000 0.0000 0.0000 1
Te1 Te 0.5000 0.5000 0.5000 1
```

Properties
magnetic moment = 1.449 μB/f.u.
calculated volume = 206.5 Å³ per cell
E = -20.41 eV for the cell shown
theoretical density = 5.3 Mg/m³
E_form (uncorrected) = 1.295 eV/atom